No. 1
The following is a PBE calculation of a relaxed LuCuRe2 crystal, from OQMD.

Cell lengths 4.490, 4.490, 4.490 Å; angles 60.00, 60.00, 60.00 degrees
Positions (direct):
Lu 0.000 0.000 0.000
Cu 0.250 0.250 0.250
Re 0.500 0.500 0.500
Re 0.750 0.750 0.750

Values from the calculation:
Space group   F-43m, No. 216
Energy relative to the elements   0.135 eV per atom

***

No. 2
The following is a PBE calculation of a relaxed LuZnCuRe crystal, from OQMD.

Cell lengths 4.542, 4.542, 4.542 Å; angles 60.00, 60.00, 60.00 degrees
Positions (direct):
Lu 0.000 0.000 0.000
Zn 0.500 0.500 0.500
Cu 0.750 0.750 0.750
Re 0.250 0.250 0.250

Values from the calculation:
Space group   F-43m, No. 216
Energy relative to the elements   0.337 eV per atom

***

No. 3
The following is a PBE calculation of a relaxed LuZnCuRe crystal, from OQMD.

Cell lengths 4.568, 4.568, 4.568 Å; angles 60.00, 60.00, 60.00 degrees
Positions (direct):
Lu 0.000 0.000 0.000
Zn 0.250 0.250 0.250
Cu 0.500 0.500 0.500
Re 0.750 0.750 0.750

Values from the calculation:
Space group   F-43m, No. 216
Energy relative to the elements   0.458 eV per atom

***

No. 4
The following is a PBE calculation of a relaxed Lu7Cu2S2 crystal, from OQMD.

Cell lengths 8.686, 8.686, 8.686 Å; angles 154.93, 68.21, 117.74 degrees
Positions (direct):
Lu 0.000 0.000 0.000
Lu 0.078 0.392 0.686
Lu 0.134 0.764 0.370
Lu 0.394 0.764 0.630
Lu 0.486 0.603 0.883
Lu 0.706 0.392 0.314
Lu 0.720 0.603 0.117
Cu 0.333 0.095 0.238
Cu 0.857 0.095 0.762
S 0.354 0.354 0.000
S 0.753 0.253 0.500

Values from the calculation:
Space group   Imm2, No. 44

***

No. 5
The following is a PBE calculation of a relaxed SrLuCuSeS2 crystal, from OQMD.

Cell lengths 6.933, 6.933, 10.334 Å; angles 90.00, 90.00, 147.04 degrees
Positions (direct):
Sr 0.237 0.763 0.750
Sr 0.763 0.237 0.250
Lu 0.000 0.000 0.000
Lu 0.000 0.000 0.500
Cu 0.471 0.529 0.250
Cu 0.529 0.471 0.750
Se 0.084 0.916 0.250
Se 0.916 0.084 0.750
S 0.370 0.630 0.067
S 0.370 0.630 0.433
S 0.630 0.370 0.567
S 0.630 0.370 0.933

Values from the calculation:
Space group   Cmcm, No. 63

***

No. 6
The following is a PBE calculation of a relaxed SmLuCuS3 crystal, from OQMD.

Cell lengths 7.888, 3.767, 8.348 Å; angles 90.00, 102.44, 90.00 degrees
Positions (direct):
Sm 0.187 0.250 0.229
Sm 0.813 0.750 0.771
Lu 0.332 0.750 0.834
Lu 0.668 0.250 0.166
Cu 0.088 0.250 0.582
Cu 0.912 0.750 0.418
S 0.096 0.250 0.864
S 0.234 0.750 0.505
S 0.431 0.750 0.166
S 0.569 0.250 0.834
S 0.766 0.250 0.495
S 0.904 0.750 0.136

Values from the calculation:
Space group   P2_1/m, No. 11

***

Across the entries above, energy takes the values -8.136, -5.145, -5.025, -5.048, -5.233, -5.789 eV/atom, respectively.